# K3U3MnS8 PBE relaxed
data_K3U3MnS8
_symmetry_space_group_name_H-M 'R -3 m'
_symmetry_Int_Tables_number 166
_symmetry_space_group_name_Hall '-R 3 2"'
_cell_length_a 7.9067
_cell_length_b 7.9067
_cell_length_c 22.5427
_cell_angle_alpha 90.00
_cell_angle_beta 90.00
_cell_angle_gamma 120.00
loop_
_atom_site_label
_atom_site_fract_x
_atom_site_fract_y
_atom_site_fract_z
K1 0.0000 0.5000 0.0000
U1 0.0000 0.5000 0.5000
Mn1 0.0000 0.0000 0.5000
S1 0.0000 0.0000 0.2349
S2 0.0081 0.5041 0.2305
# Formation energy from raw total energies in meV/atom: -1287

# K2U2MnS6 PBE relaxed
data_K2U2MnS6
_symmetry_space_group_name_H-M 'C 1 2/m 1'
_symmetry_Int_Tables_number 12
_cell_length_a 6.779
_cell_length_b 11.765
_cell_length_c 7.855
_cell_angle_alpha 90.00
_cell_angle_beta 106.25
_cell_angle_gamma 90.00
loop_
_symmetry_equiv_pos_as_xyz
'x,y,z'
'-x,-y,-z'
'-x,y,-z'
'x,-y,z'
'x+1/2,y+1/2,z'
'-x+1/2,-y+1/2,-z'
'-x+1/2,y+1/2,-z'
'x+1/2,-y+1/2,z'
loop_
_atom_site_label
_atom_site_fract_x
_atom_site_fract_y
_atom_site_fract_z
K1 0.000 0.164 0.000
U1 0.000 0.335 0.500
Mn1 0.000 0.000 0.500
S1 0.227 0.166 0.692
S2 0.242 0.500 0.690
# Formation energy from raw total energies in meV/atom: -1251

# K2UMnS6 PBE relaxed
data_K2UMnS6
_symmetry_space_group_name_H-M 'C 1 2/m 1'
_symmetry_Int_Tables_number 12
_cell_length_a 9.766
_cell_length_b 9.770
_cell_length_c 6.923
_cell_angle_alpha 90.00
_cell_angle_beta 134.79
_cell_angle_gamma 90.00
loop_
_symmetry_equiv_pos_as_xyz
'x,y,z'
'-x,-y,-z'
'-x,y,-z'
'x,-y,z'
'x+1/2,y+1/2,z'
'-x+1/2,-y+1/2,-z'
'-x+1/2,y+1/2,-z'
'x+1/2,-y+1/2,z'
loop_
_atom_site_label
_atom_site_fract_x
_atom_site_fract_y
_atom_site_fract_z
K1 0.000 0.250 0.000
U1 0.000 0.000 0.500
Mn1 0.000 0.500 0.500
S1 0.000 0.260 0.500
S2 0.240 0.500 0.500
S3 0.243 0.500 0.987
# Formation energy from raw total energies in meV/atom: -942

# KUMnS4 PBE relaxed
data_KUMnS4
_symmetry_space_group_name_H-M 'I m m a'
_symmetry_Int_Tables_number 74
_symmetry_space_group_name_Hall '-I 2b 2'
_cell_length_a 7.964
_cell_length_b 8.535
_cell_length_c 10.803
_cell_angle_alpha 90.00
_cell_angle_beta 90.00
_cell_angle_gamma 90.00
loop_
_atom_site_label
_atom_site_fract_x
_atom_site_fract_y
_atom_site_fract_z
K1 0.000 0.250 0.160
U1 0.000 0.000 0.500
Mn1 0.250 0.250 0.750
S1 0.000 0.063 0.737
S2 0.205 0.250 0.502
# Formation energy from raw total energies in meV/atom: -1033

# KUMnS3 PBE relaxed
data_KUMnS3
_symmetry_space_group_name_H-M 'P 1 21/m 1'
_symmetry_Int_Tables_number 11
_cell_length_a 8.822
_cell_length_b 3.992
_cell_length_c 9.221
_cell_angle_alpha 90.00
_cell_angle_beta 107.32
_cell_angle_gamma 90.00
loop_
_symmetry_equiv_pos_as_xyz
'x,y,z'
'-x,-y,-z'
'-x,y+1/2,-z'
'x,-y+1/2,z'
loop_
_atom_site_label
_atom_site_fract_x
_atom_site_fract_y
_atom_site_fract_z
K1 0.199 0.250 0.234
U1 0.331 0.750 0.845
Mn1 0.078 0.250 0.600
S1 0.124 0.250 0.863
S2 0.195 0.750 0.539
S3 0.456 0.750 0.156
# Formation energy from raw total energies in meV/atom: -1129

# K2UMnS4 PBE relaxed
data_K2UMnS4
_symmetry_space_group_name_H-M 'I m m a'
_symmetry_Int_Tables_number 74
_symmetry_space_group_name_Hall '-I 2b 2'
_cell_length_a 8.200
_cell_length_b 8.236
_cell_length_c 11.665
_cell_angle_alpha 90.00
_cell_angle_beta 90.00
_cell_angle_gamma 90.00
loop_
_atom_site_label
_atom_site_fract_x
_atom_site_fract_y
_atom_site_fract_z
K1 0.000 0.000 0.000
K2 0.250 0.250 0.250
U1 0.000 0.000 0.500
Mn1 0.250 0.250 0.750
S1 0.000 0.043 0.731
S2 0.219 0.250 0.513
# Formation energy from raw total energies in meV/atom: -1117

# K2MnVS4 PBE relaxed
data_K2MnVS4
_symmetry_space_group_name_H-M 'I -4'
_symmetry_Int_Tables_number 82
_cell_length_a 6.964
_cell_length_b 6.964
_cell_length_c 8.807
_cell_angle_alpha 90.00
_cell_angle_beta 90.00
_cell_angle_gamma 90.00
loop_
_symmetry_equiv_pos_as_xyz
'x,y,z'
'y,-x,-z'
'-x,-y,z'
'-y,x,-z'
'x+1/2,y+1/2,z+1/2'
'y+1/2,-x+1/2,-z+1/2'
'-x+1/2,-y+1/2,z+1/2'
'-y+1/2,x+1/2,-z+1/2'
loop_
_atom_site_label
_atom_site_fract_x
_atom_site_fract_y
_atom_site_fract_z
K1 0.000 0.000 0.000
K2 0.000 0.500 0.250
Mn1 0.000 0.000 0.500
V1 0.000 0.500 0.750
S1 0.145 0.736 0.619
# Formation energy from raw total energies in meV/atom: -947

# K3Mn3WS8 PBE relaxed
data_K3Mn3WS8
_symmetry_space_group_name_H-M 'C 1 2/m 1'
_symmetry_Int_Tables_number 12
_cell_length_a 12.501
_cell_length_b 7.279
_cell_length_c 8.478
_cell_angle_alpha 90.00
_cell_angle_beta 119.54
_cell_angle_gamma 90.00
loop_
_symmetry_equiv_pos_as_xyz
'x,y,z'
'-x,-y,-z'
'-x,y,-z'
'x,-y,z'
'x+1/2,y+1/2,z'
'-x+1/2,-y+1/2,-z'
'-x+1/2,y+1/2,-z'
'x+1/2,-y+1/2,z'
loop_
_atom_site_label
_atom_site_fract_x
_atom_site_fract_y
_atom_site_fract_z
K1 0.000 0.000 0.000
K2 0.250 0.250 0.000
Mn1 0.000 0.500 0.500
Mn2 0.250 0.250 0.500
W1 0.000 0.000 0.500
S1 0.021 0.243 0.319
S2 0.223 0.000 0.682
S3 0.223 0.500 0.672
# Formation energy from raw total energies in meV/atom: -731

# KMnWS2 PBE relaxed
data_KMnWS2
_symmetry_space_group_name_H-M 'P 4/m m m'
_symmetry_Int_Tables_number 123
_symmetry_space_group_name_Hall '-P 4 2'
_cell_length_a 4.776
_cell_length_b 4.776
_cell_length_c 4.560
_cell_angle_alpha 90.00
_cell_angle_beta 90.00
_cell_angle_gamma 90.00
loop_
_atom_site_label
_atom_site_fract_x
_atom_site_fract_y
_atom_site_fract_z
K1 0.000 0.000 0.000
Mn1 0.500 0.500 0.500
W1 0.500 0.500 0.000
S1 0.000 0.500 0.500
# Formation energy from raw total energies in meV/atom: 712

# K3Y3MnS8 PBE relaxed
data_K3Y3MnS8
_symmetry_space_group_name_H-M 'R -3 m'
_symmetry_Int_Tables_number 166
_symmetry_space_group_name_Hall '-R 3 2"'
_cell_length_a 7.8405
_cell_length_b 7.8405
_cell_length_c 22.4938
_cell_angle_alpha 90.00
_cell_angle_beta 90.00
_cell_angle_gamma 120.00
loop_
_atom_site_label
_atom_site_fract_x
_atom_site_fract_y
_atom_site_fract_z
K1 0.0000 0.5000 0.0000
Y1 0.0000 0.5000 0.5000
Mn1 0.0000 0.0000 0.5000
S1 0.0000 0.0000 0.2344
S2 0.0351 0.5175 0.2281
# Formation energy from raw total energies in meV/atom: -1557

# K3Y2MnS6 PBE relaxed
data_K3Y2MnS6
_symmetry_space_group_name_H-M 'C 1 2/m 1'
_symmetry_Int_Tables_number 12
_cell_length_a 6.777
_cell_length_b 11.950
_cell_length_c 7.676
_cell_angle_alpha 90.00
_cell_angle_beta 106.92
_cell_angle_gamma 90.00
loop_
_symmetry_equiv_pos_as_xyz
'x,y,z'
'-x,-y,-z'
'-x,y,-z'
'x,-y,z'
'x+1/2,y+1/2,z'
'-x+1/2,-y+1/2,-z'
'-x+1/2,y+1/2,-z'
'x+1/2,-y+1/2,z'
loop_
_atom_site_label
_atom_site_fract_x
_atom_site_fract_y
_atom_site_fract_z
K1 0.000 0.000 0.000
K2 0.000 0.332 0.000
Y1 0.000 0.169 0.500
Mn1 0.000 0.500 0.500
S1 0.228 0.341 0.700
S2 0.237 0.500 0.315
# Formation energy from raw total energies in meV/atom: -1480

# K2YMnS4 PBE relaxed
data_K2YMnS4
_symmetry_space_group_name_H-M 'I m m a'
_symmetry_Int_Tables_number 74
_symmetry_space_group_name_Hall '-I 2b 2'
_cell_length_a 7.866
_cell_length_b 8.203
_cell_length_c 11.940
_cell_angle_alpha 90.00
_cell_angle_beta 90.00
_cell_angle_gamma 90.00
loop_
_atom_site_label
_atom_site_fract_x
_atom_site_fract_y
_atom_site_fract_z
K1 0.000 0.000 0.000
K2 0.250 0.250 0.250
Y1 0.000 0.000 0.500
Mn1 0.250 0.250 0.750
S1 0.000 0.063 0.739
S2 0.225 0.250 0.508
# Formation energy from raw total energies in meV/atom: -1234